(1)
4
Lattice="0.000 3.918 3.918 3.918 0.000 3.918 3.918 3.918 0.000" Properties=species:S:1:pos:R:3 comment="CePmHoMg (PBE, optimized geometry)" total_magnetization_mub_per_cell=1.66 dft_energy_ha_per_atom=-0.1504 ef_ev_per_atom=0.121 pbc="T T T"
Ce 0.000 0.000 0.000
Pm 1.959 1.959 1.959
Ho 3.918 3.918 3.918
Mg 5.878 5.878 5.878

(2)
6
Lattice="4.096 0.000 0.000 -0.013 5.754 0.000 -0.151 -2.873 5.009" Properties=species:S:1:pos:R:3 comment="PmBP (PBE, optimized geometry)" e_above_lowest_polymorph_ev_per_fu=0.29 total_magnetization_mub_per_cell=0.00 dft_energy_ha_per_atom=-0.2222 ef_ev_per_atom=-0.434 pbc="T T T"
Pm 0.959 1.437 0.940
Pm 2.973 1.444 4.068
B 1.956 3.336 2.508
B 1.976 -0.455 2.501
P 1.059 4.316 1.109
P 2.874 -1.434 3.900